[1]
First-principles (GGA-PBE) data for a geometry-optimized CuAgF2 structure, as listed in Alexandria.

Geometry as POSCAR:
```
CuAgF2
1.0
3.1175 0.0000 0.0000
-1.5588 2.6998 0.0000
0.0000 0.0000 19.3339
Cu Ag F
3 3 6
direct
0.0000 0.0000 0.0000
0.3333 0.6667 0.6667
0.6667 0.3333 0.3333
0.0000 0.0000 0.8330
0.3333 0.6667 0.4996
0.6667 0.3333 0.1663
0.0000 0.0000 0.3941
0.0000 0.0000 0.6067
0.3333 0.6667 0.0607
0.3333 0.6667 0.2733
0.6667 0.3333 0.7274
0.6667 0.3333 0.9400
```

[2]
First-principles (GGA-PBE) data for a geometry-optimized MoAsSe structure, as listed in Alexandria.

Geometry as POSCAR:
```
MoAsSe
1.0
4.8238 0.0000 0.0000
-2.4119 4.1775 0.0000
0.0000 0.0000 2.6461
Mo As Se
1 1 1
direct
0.0000 0.0000 0.0000
0.3333 0.6667 0.0000
0.6667 0.3333 0.0000
```

* ΔE to the lowest computed polymorph: 0.5443 eV/atom

What are the DOS at the Fermi energy values for these records? In order: 1.25, 0.49 states/eV per atom.
What are the energy relative to the elements, uncorrected values for these records? In order: -953.5, 301.7 meV/atom.